Record 1
The following is a PBE calculation of a relaxed structure of SrGe2Au, from Alexandria.

```
SrGe2Au
1.0
-2.397 2.397 9.297
2.397 -2.397 9.297
2.397 2.397 -9.297
Sr Ge Au
2 4 2
Cartesian
0.000 0.000 0.000
0.000 2.397 4.648
1.198 -0.505 6.973
1.892 1.198 2.324
1.198 2.901 -2.324
0.505 1.198 11.621
2.397 0.000 4.648
0.000 0.000 9.297
```

Properties
DFT formation energy in eV per atom: -0.287



Record 2
The following is a PBE calculation of a relaxed structure of Sr3Ge2Au7, from Alexandria.

```
Sr3Ge2Au7
1.0
-2.258 2.258 14.277
2.258 -2.258 14.277
2.258 2.258 -14.277
Sr Ge Au
3 2 7
Cartesian
0.000 0.000 0.000
0.000 0.000 4.938
0.000 0.000 23.617
0.000 0.000 10.740
0.000 0.000 17.815
2.258 0.000 2.253
0.000 0.000 8.108
2.258 0.000 12.024
0.000 0.000 14.277
0.000 2.258 2.253
0.000 0.000 20.446
0.000 2.258 12.024
```

Properties
DFT formation energy in eV per atom: -0.468



Record 3
The following is a PBE calculation of a relaxed structure of SrGeAu11, from Alexandria.

```
SrGeAu11
1.0
2.751 -6.713 0.000
2.751 6.713 0.000
-1.899 0.000 7.030
Sr Ge Au
1 1 11
Cartesian
0.000 0.000 0.000
1.802 0.000 3.515
-0.949 0.000 3.515
1.376 3.356 0.000
0.821 4.260 4.585
2.783 4.260 2.446
0.879 1.433 5.475
2.725 1.433 1.555
1.376 -3.356 0.000
0.879 -1.433 5.475
2.725 -1.433 1.555
0.821 -4.260 4.585
2.783 -4.260 2.446
```

Properties
DFT formation energy in eV per atom: -0.183